VASP calculation (PBE) on Sr2SbO2 after structural relaxation.

abc: 8.5537 8.5537 3.5627
angles: 90.00 90.00 90.00
Space group P4/mbm (No. 127)
Inequivalent atoms, fractional coordinates:
1 Sr 0.1388 0.3612 0.0000 (multiplicity 4)
2 Sb 0.0000 0.0000 0.0000 (multiplicity 2)
3 O 0.0639 0.5639 0.5000 (multiplicity 4)

Results
Polymorph energy (0 for the lowest one), meV/atom: 295.2
M_tot, μB per cell: 0.00
Mass density, kg/m3: 4192
E_form (uncorrected), eV per atom: -1.273